Record 1
A relaxed PmP2Au crystal, computed with GGA-PBE.

Computed properties:
Formation energy from the elements (eV/atom): -0.492
D(E_F) (states/eV per cell): 2.73
Electronic total energy (eV/atom): -5.204
Calculated density (g cm⁻³): 8.7
Polymorph energy (0 for the lowest one) (meV per atom): 0

Cell: 3.738 4.553 4.553 Å, 90.00 90.00 90.00°
Element x y z (fractional)
P 0.000 0.500 0.000
Pm 0.500 0.500 0.500
Au 0.500 0.000 0.000
P 0.000 0.000 0.500

Record 2
A relaxed CrSn3N3 crystal, computed with GGA-PBE.

Computed properties:
Raw formation energy (eV per atom): 0.196
D(E_F) (states/eV per cell): 3.05
Electronic total energy (eV/atom): -6.462
Calculated density (g cm⁻³): 4.9

Cell: 10.099 10.099 3.461 Å, 90.00 90.00 120.00°
Last column: magnetic moment on the atom in μB.
Element x y z (fractional)
Sn 0.659 0.025 0.250  0.03
N 0.526 0.397 0.750  -0.05
N 0.603 0.129 0.750  -0.05
Cr 0.333 0.667 0.250  2.02
Sn 0.634 0.659 0.750  0.03
Sn 0.341 0.975 0.750  0.03
N 0.397 0.871 0.250  -0.05
Sn 0.975 0.634 0.250  0.03
N 0.871 0.474 0.750  -0.05
Sn 0.025 0.366 0.750  0.03
N 0.474 0.603 0.250  -0.05
N 0.129 0.526 0.250  -0.05
Cr 0.667 0.333 0.750  2.02
Sn 0.366 0.341 0.250  0.03

Record 3
A relaxed CaLaIN crystal, computed with GGA-PBE.

Computed properties:
Raw formation energy (eV per atom): -1.166
D(E_F) (states/eV per cell): 1.06
Electronic total energy (eV/atom): -5.367
Calculated density (g cm⁻³): 5.4

Cell: 3.849 3.849 7.950 Å, 90.01 103.99 120.00°
Last column: magnetic moment on the atom in μB.
Element x y z (fractional)
Ca 0.084 0.940 0.040  0.07
N 0.308 0.552 0.876  -0.02
La 0.523 0.160 0.698  0.33
I 0.962 0.379 0.356  0.00